Material: VAsO2
Method: DFT, GGA+U
State: relaxed

final energy	-5.71	eV/atom
density of states at the Fermi level	0.5	states/eV/cell
size of the total moment	0.0	μB/cell
space-group type	Fm-3m, No. 225

```
data_VAsO2
_chemical_formula_sum 'V1 As1 O2'
_cell_length_a 3.898
_cell_length_b 3.898
_cell_length_c 3.898
_cell_angle_alpha 60.00
_cell_angle_beta 60.00
_cell_angle_gamma 60.00
_space_group_name_H-M_alt 'P 1'
_space_group_IT_number 1
loop_
_space_group_symop_operation_xyz
'x,y,z'
loop_
_atom_site_label
_atom_site_fract_x
_atom_site_fract_y
_atom_site_fract_z
_atom_site_occupancy
V1 0.000 0.000 0.000 1
As1 0.500 0.500 0.500 1
O1 0.250 0.250 0.250 1
O2 0.750 0.750 0.750 1
```